1.
Gd3Fe5H12: relaxed, PBE-GGA.

Cell: 9.7509 9.7509 9.7509 Å, 109.47 109.47 109.47°
Closest atoms and distances in Å follow each position.
Element x y z (fractional)
H 0.0175 0.6030 0.6871  2 Fe 1.68-1.74
H 0.3970 0.4145 0.0841  2 Fe 1.68-1.74
H 0.6696 0.1871 0.5841  2 Fe 1.68-1.74
H 0.9145 0.0841 0.8970  2 Fe 1.68-1.74
H 0.4825 0.6696 0.0855  2 Fe 1.68-1.74
H 0.9159 0.0855 0.6030  2 Fe 1.68-1.74
H 0.6871 0.5841 0.1696  2 Fe 1.68-1.74
H 0.8970 0.5841 0.9145  2 Fe 1.68-1.74
H 0.1030 0.4159 0.0855  2 Fe 1.68-1.74
H 0.6030 0.5855 0.9159  2 Fe 1.68-1.74
H 0.0841 0.1696 0.1871  2 Fe 1.68-1.74
H 0.4159 0.3129 0.3304  2 Fe 1.68-1.74
H 0.0855 0.1696 0.4825  2 Fe 1.68-1.74
H 0.4145 0.0175 0.3304  2 Fe 1.68-1.74
H 0.8304 0.9145 0.0175  2 Fe 1.68-1.74
H 0.3304 0.5175 0.4145  2 Fe 1.68-1.74
H 0.8970 0.3129 0.4825  2 Fe 1.68-1.74
H 0.8304 0.9159 0.3129  2 Fe 1.68-1.74
H 0.3304 0.8129 0.4159  2 Fe 1.68-1.74
H 0.6696 0.4825 0.5855  2 Fe 1.68-1.74
H 0.1696 0.0855 0.9825  2 Fe 1.68-1.74
H 0.1696 0.0841 0.6871  2 Fe 1.68-1.74
H 0.5175 0.1871 0.1030  2 Fe 1.68-1.74
H 0.4825 0.8129 0.8970  2 Fe 1.68-1.74
H 0.0175 0.4145 0.8304  2 Fe 1.68-1.74
H 0.1871 0.6696 0.0841  2 Fe 1.68-1.74
H 0.9145 0.8304 0.5175  2 Fe 1.68-1.74
H 0.4159 0.1030 0.5855  2 Fe 1.68-1.74
H 0.9825 0.5855 0.1696  2 Fe 1.68-1.74
H 0.5855 0.9825 0.6696  2 Fe 1.68-1.74
H 0.8129 0.3304 0.9159  2 Fe 1.68-1.74
H 0.3129 0.4159 0.8304  2 Fe 1.68-1.74
H 0.5855 0.6030 0.4159  2 Fe 1.68-1.74
H 0.5841 0.6871 0.6696  2 Fe 1.68-1.74
H 0.0841 0.9145 0.3970  2 Fe 1.68-1.74
H 0.6030 0.0175 0.1871  2 Fe 1.68-1.74
H 0.4145 0.3970 0.5841  2 Fe 1.68-1.74
H 0.1030 0.6871 0.5175  2 Fe 1.68-1.74
H 0.3129 0.8970 0.9825  2 Fe 1.68-1.74
H 0.1871 0.5175 0.6030  2 Fe 1.68-1.74
H 0.5175 0.3304 0.9145  2 Fe 1.68-1.74
H 0.5841 0.8970 0.4145  2 Fe 1.68-1.74
H 0.9825 0.3970 0.3129  2 Fe 1.68-1.74
H 0.9159 0.8304 0.8129  2 Fe 1.68-1.74
H 0.6871 0.1030 0.0175  2 Fe 1.68-1.74
H 0.8129 0.4825 0.3970  2 Fe 1.68-1.74
H 0.3970 0.9825 0.8129  2 Fe 1.68-1.74
H 0.0855 0.9159 0.1030  2 Fe 1.68-1.74
Fe 0.6250 0.7500 0.8750  4 H 1.74
Fe 0.5000 0.0000 0.5000  6 H 1.68
Fe 0.5000 0.0000 0.0000  6 H 1.68
Fe 0.5000 0.5000 0.5000  6 H 1.68
Fe 0.7500 0.1250 0.8750  4 H 1.74
Fe 0.8750 0.6250 0.7500  4 H 1.74
Fe 0.0000 0.5000 0.0000  6 H 1.68
Fe 0.0000 0.0000 0.5000  6 H 1.68
Fe 0.7500 0.6250 0.3750  4 H 1.74
Fe 0.0000 0.0000 0.0000  6 H 1.68
Fe 0.3750 0.2500 0.1250  4 H 1.74
Fe 0.5000 0.5000 0.0000  6 H 1.68
Fe 0.1250 0.7500 0.3750  4 H 1.74
Fe 0.8750 0.2500 0.6250  4 H 1.74
Fe 0.2500 0.8750 0.1250  4 H 1.74
Fe 0.3750 0.1250 0.7500  4 H 1.74
Fe 0.2500 0.3750 0.6250  4 H 1.74
Fe 0.0000 0.5000 0.5000  6 H 1.68
Fe 0.1250 0.3750 0.2500  4 H 1.74
Fe 0.6250 0.8750 0.2500  4 H 1.74
Gd 0.1250 0.2500 0.8750  8 H 2.27-2.28
Gd 0.7500 0.8750 0.6250  8 H 2.27-2.28
Gd 0.3750 0.6250 0.2500  8 H 2.27-2.28
Gd 0.2500 0.1250 0.3750  8 H 2.27-2.28
Gd 0.1250 0.8750 0.7500  8 H 2.27-2.28
Gd 0.2500 0.6250 0.8750  8 H 2.27-2.28
Gd 0.7500 0.3750 0.1250  8 H 2.27-2.28
Gd 0.8750 0.1250 0.2500  8 H 2.27-2.28
Gd 0.6250 0.3750 0.7500  8 H 2.27-2.28
Gd 0.3750 0.7500 0.6250  8 H 2.27-2.28
Gd 0.8750 0.7500 0.1250  8 H 2.27-2.28
Gd 0.6250 0.2500 0.3750  8 H 2.27-2.28

## Properties
Final energy in eV per atom: -6.405
Volume in Å³/atom: 8.92

2.
GdFeH2: relaxed, PBE-GGA.

Cell: 3.0354 3.0354 5.7792 Å, 74.77 74.77 60.00°
Closest atoms and distances in Å follow each position.
Element x y z (fractional)
H 0.8656 0.8656 0.4033  3 Fe 1.83, 3 H 2.05
H 0.1344 0.1344 0.5967  3 Fe 1.83, 3 H 2.05
Fe 0.5000 0.5000 0.5000  6 H 1.83
Gd 0.0000 0.0000 0.0000  2 H 2.22

## Properties
Final energy in eV per atom: -7.139
Volume in Å³/atom: 10.99

3.
GdFeH: relaxed, PBE-GGA.

Cell: 3.0987 3.5679 8.0309 Å, 90.00 101.12 90.00°
Closest atoms and distances in Å follow each position.
Element x y z (fractional)
Fe 0.7579 0.2500 0.5157  4 Fe 2.38
Fe 0.2421 0.7500 0.4843  4 Fe 2.38
H 0.5459 0.7500 0.0918  2 H 2.30, 4 Gd 2.50
H 0.4541 0.2500 0.9082  2 H 2.30, 4 Gd 2.50
Gd 0.9031 0.7500 0.8062  6 H 2.50-2.73
Gd 0.0969 0.2500 0.1938  6 H 2.50-2.73

## Properties
Final energy in eV per atom: -8.637
Volume in Å³/atom: 14.52

4.
GdFeH3: relaxed, PBE-GGA.

Cell: 3.5372 3.5372 3.5372 Å, 90.00 90.00 90.00°
Closest atoms and distances in Å follow each position.
Element x y z (fractional)
H 0.0000 0.5000 0.0000  2 Fe 1.77
H 0.5000 0.0000 0.0000  2 Fe 1.77
H 0.0000 0.0000 0.5000  2 Fe 1.77
Gd 0.5000 0.5000 0.5000  12 H 2.50
Fe 0.0000 0.0000 0.0000  6 H 1.77

## Properties
Final energy in eV per atom: -6.900
Volume in Å³/atom: 8.85

5.
GdHfFe4: relaxed, PBE-GGA.

Cell: 5.0512 5.0512 5.0512 Å, 60.00 60.00 60.00°
Closest atoms and distances in Å follow each position.
Element x y z (fractional)
Fe 0.6244 0.6244 0.1269  6 Fe 2.51-2.54
Fe 0.6244 0.6244 0.6244  6 Fe 2.51-2.54
Fe 0.6244 0.1269 0.6244  6 Fe 2.51-2.54
Fe 0.1269 0.6244 0.6244  6 Fe 2.51-2.54
Hf 0.2500 0.2500 0.2500  12 Fe 2.96, 4 Gd 3.09
Gd 0.0000 0.0000 0.0000  12 Fe 2.96, 4 Hf 3.09

## Properties
ΔH_f (0 K) in meV per atom: -172
Volume in Å³/atom: 15.19

6.
LiGdHfFe: relaxed, PBE-GGA.

Cell: 4.6849 4.6849 4.6849 Å, 60.00 60.00 60.00°
Closest atoms and distances in Å follow each position.
Element x y z (fractional)
Fe 0.5000 0.5000 0.5000  4 Hf 2.87, 4 Gd 2.87
Li 0.0000 0.0000 0.0000  4 Gd 2.87, 4 Hf 2.87
Hf 0.2500 0.2500 0.2500  4 Li 2.87, 4 Fe 2.87
Gd 0.7500 0.7500 0.7500  4 Li 2.87, 4 Fe 2.87

## Properties
ΔH_f (0 K) in meV per atom: 88
Volume in Å³/atom: 18.18

7.
GdHfFeRh: relaxed, PBE-GGA.

Cell: 4.6784 4.6784 4.6784 Å, 60.00 60.00 60.00°
Closest atoms and distances in Å follow each position.
Element x y z (fractional)
Hf 0.7500 0.7500 0.7500  4 Rh 2.86, 4 Fe 2.86
Gd 0.2500 0.2500 0.2500  4 Fe 2.86, 4 Rh 2.86
Rh 0.0000 0.0000 0.0000  4 Hf 2.86, 4 Gd 2.86
Fe 0.5000 0.5000 0.5000  4 Gd 2.86, 4 Hf 2.86

## Properties
ΔH_f (0 K) in meV per atom: -351
Volume in Å³/atom: 18.10

8.
GdHfFeRu: relaxed, PBE-GGA.

Cell: 4.6538 4.6538 4.6538 Å, 60.00 60.00 60.00°
Closest atoms and distances in Å follow each position.
Element x y z (fractional)
Ru 0.7500 0.7500 0.7500  4 Hf 2.85, 4 Gd 2.85
Hf 0.0000 0.0000 0.0000  4 Fe 2.85, 4 Ru 2.85
Gd 0.5000 0.5000 0.5000  4 Fe 2.85, 4 Ru 2.85
Fe 0.2500 0.2500 0.2500  4 Gd 2.85, 4 Hf 2.85

## Properties
ΔH_f (0 K) in meV per atom: -203
Volume in Å³/atom: 17.82

9.
Gd2FeHg: relaxed, PBE-GGA.

Cell: 3.7601 3.7601 9.9028 Å, 79.06 79.06 60.00°
Closest atoms and distances in Å follow each position.
Element x y z (fractional)
Gd 0.1125 0.1125 0.6625  3 Fe 2.68
Gd 0.8875 0.8875 0.3375  3 Fe 2.68
Hg 0.0000 0.0000 0.0000  2 Gd 3.26
Fe 0.5000 0.5000 0.5000  6 Gd 2.68

## Properties
E above lowest polymorph in kJ/mol of atoms: 34.0
ΔH_f (0 K) in meV per atom: 165
Volume in Å³/atom: 29.58

10.
Gd2FeHg: relaxed, PBE-GGA.

Cell: 5.1141 5.1141 5.1141 Å, 60.00 60.00 60.00°
Closest atoms and distances in Å follow each position.
Element x y z (fractional)
Gd 0.2500 0.2500 0.2500  4 Hg 3.13, 4 Fe 3.13
Gd 0.7500 0.7500 0.7500  4 Hg 3.13, 4 Fe 3.13
Hg 0.0000 0.0000 0.0000  8 Gd 3.13
Fe 0.5000 0.5000 0.5000  8 Gd 3.13

## Properties
E above lowest polymorph in kJ/mol of atoms: 8.9
ΔH_f (0 K) in meV per atom: -96
Volume in Å³/atom: 23.64

11.
GdFe4Hg: relaxed, PBE-GGA.

Cell: 5.1015 5.1015 5.1015 Å, 60.00 60.00 60.00°
Closest atoms and distances in Å follow each position.
Element x y z (fractional)
Fe 0.6251 0.6251 0.1246  6 Fe 2.55
Fe 0.6251 0.1246 0.6251  6 Fe 2.55
Fe 0.1246 0.6251 0.6251  6 Fe 2.55
Fe 0.6251 0.6251 0.6251  6 Fe 2.55
Gd 0.0000 0.0000 0.0000  12 Fe 2.99, 4 Hg 3.12
Hg 0.2500 0.2500 0.2500  12 Fe 2.99, 4 Gd 3.12

## Properties
ΔH_f (0 K) in meV per atom: 59
Volume in Å³/atom: 15.65

12.
Gd2FeHg: relaxed, PBE-GGA.

Cell: 3.5012 3.5012 7.5950 Å, 90.00 90.00 90.00°
Closest atoms and distances in Å follow each position.
Element x y z (fractional)
Gd 0.0000 0.0000 0.7827  4 Fe 2.98, 4 Hg 3.28, 1 Gd 3.30
Gd 0.0000 0.0000 0.2173  4 Fe 2.98, 4 Hg 3.28, 1 Gd 3.30
Fe 0.5000 0.5000 0.0000  8 Gd 2.98
Hg 0.5000 0.5000 0.5000  8 Gd 3.28, 4 Hg 3.50

## Properties
E above lowest polymorph in kJ/mol of atoms: 0.0
ΔH_f (0 K) in meV per atom: -188
Volume in Å³/atom: 23.28

Question: Which value of volume does entry 3 give?
Answer: 14.52 Å³/atom